SnHgRh2 | GGA-PBE | relaxed

Results
- Density of states at the Fermi level: 0.39 states/eV per atom
- Symmetry: P4/mmm
- Size of the total moment: 0.0 μB per cell
- ΔE_f: -0.209 eV/atom
- Energy: -4.961 eV per atom

Cell: 3.1588 3.1588 6.9407 Å, 90.00 90.00 90.00°
With the nearest neighbours (Å) after each atom.
Positions (direct):
Rh: 0.0000 0.0000 0.7736  4 Sn 2.73, 4 Hg 2.93
Rh: 0.0000 0.0000 0.2264  4 Sn 2.73, 4 Hg 2.93
Hg: 0.5000 0.5000 0.5000  8 Rh 2.93, 4 Hg 3.16
Sn: 0.5000 0.5000 0.0000  8 Rh 2.73

---

Nd2SnSe | GGA-PBE | relaxed

Results
- Density of states at the Fermi level: 0.27 states/eV per atom
- Symmetry: Pmna
- Size of the total moment: 0.0 μB per cell
- Energy: -5.563 eV per atom
- ΔE to the lowest computed polymorph: 0.00 eV/f.u.

Cell: 6.2190 6.2190 12.4287 Å, 90.01 90.00 90.00°
With the nearest neighbours (Å) after each atom.
Positions (direct):
Nd: 0.7507 0.0000 0.8800  3 Se 3.04-3.11, 3 Sn 3.11-3.17
Nd: 0.2493 0.0000 0.1200  3 Se 3.04-3.11, 3 Sn 3.11-3.17
Nd: 0.7507 0.5000 0.6200  3 Se 3.04-3.11, 3 Sn 3.11-3.17
Nd: 0.2493 0.5000 0.3800  3 Se 3.04-3.11, 3 Sn 3.11-3.17
Nd: 0.7493 0.5002 0.1301  3 Se 3.04-3.11, 3 Sn 3.11-3.17
Nd: 0.2507 0.4998 0.8699  3 Se 3.04-3.11, 3 Sn 3.11-3.17
Nd: 0.7493 0.9998 0.3699  3 Se 3.04-3.11, 3 Sn 3.11-3.17
Nd: 0.2507 0.0002 0.6301  3 Se 3.04-3.11, 3 Sn 3.11-3.17
Sn: 0.2492 0.0001 0.3750  6 Nd 3.11-3.17
Sn: 0.7508 0.9999 0.6250  6 Nd 3.11-3.17
Sn: 0.2492 0.4999 0.1250  6 Nd 3.11-3.17
Sn: 0.7508 0.5001 0.8750  6 Nd 3.11-3.17
Se: 0.2507 0.5002 0.6250  6 Nd 3.04-3.11
Se: 0.7493 0.4998 0.3750  6 Nd 3.04-3.11
Se: 0.2507 0.9998 0.8750  6 Nd 3.04-3.11
Se: 0.7493 0.0002 0.1250  6 Nd 3.04-3.11

---

Cs2NaBeI6 | GGA-PBE | relaxed

Results
- Density of states at the Fermi level: 1.43 states/eV per atom
- Symmetry: I4/mmm
- Size of the total moment: 0.0 μB per cell
- Energy: -2.482 eV per atom

Cell: 8.3316 8.3316 8.3463 Å, 60.06 60.06 90.00°
With the nearest neighbours (Å) after each atom.
Positions (direct):
Cs: 0.7500 0.2500 0.5000  12 I 4.17-4.18
Cs: 0.2500 0.7500 0.5000  12 I 4.17-4.18
I: 0.2698 0.2698 0.4604  1 Be 2.72
I: 0.7302 0.7302 0.5396  1 Be 2.72
I: 0.2708 0.2708 0.0000  1 Be 2.70
I: 0.7292 0.7292 0.0000  1 Be 2.70
I: 0.7292 0.2708 0.0000  1 Be 2.70
I: 0.2708 0.7292 0.0000  1 Be 2.70
Be: 0.5000 0.5000 0.0000  6 I 2.70-2.72
Na: 0.0000 0.0000 0.0000  6 I 3.19